Record 1
# GGA-PBE GeAsSe, relaxed
data_GeAsSe
_chemical_formula_sum 'Ge2 As2 Se2'
_symmetry_space_group_name_H-M 'P 1'
_symmetry_Int_Tables_number 1
_cell_length_a 3.9168
_cell_length_b 6.3305
_cell_length_c 6.9244
_cell_angle_alpha 85.55
_cell_angle_beta 89.98
_cell_angle_gamma 71.99
loop_
_symmetry_equiv_pos_as_xyz
'x,y,z'
loop_
_atom_site_label
_atom_site_type_symbol
_atom_site_fract_x
_atom_site_fract_y
_atom_site_fract_z
Ge1 Ge 0.0451 0.4086 0.2935
Ge2 Ge 0.9549 0.5914 0.7065
As1 As 0.4055 0.6897 0.9124
As2 As 0.5945 0.3103 0.0876
Se1 Se 0.1431 0.2134 0.6118
Se2 Se 0.8569 0.7866 0.3882
# formation energy without anion corrections: -0.351 eV/f.u.
# magnetization: 0.0 μB per cell
# space-group type: P-1, No. 2

---

Record 2
# GGA-PBE Ge2AsSe, relaxed
data_Ge2AsSe
_chemical_formula_sum 'Ge2 As1 Se1'
_symmetry_space_group_name_H-M 'P 1'
_symmetry_Int_Tables_number 1
_cell_length_a 7.8428
_cell_length_b 7.8428
_cell_length_c 7.8428
_cell_angle_alpha 27.96
_cell_angle_beta 27.96
_cell_angle_gamma 27.96
loop_
_symmetry_equiv_pos_as_xyz
'x,y,z'
loop_
_atom_site_label
_atom_site_type_symbol
_atom_site_fract_x
_atom_site_fract_y
_atom_site_fract_z
Ge1 Ge 0.0000 0.0000 0.0000
Ge2 Ge 0.1849 0.1849 0.1849
As1 As 0.5740 0.5740 0.5740
Se1 Se 0.3966 0.3966 0.3966
# formation energy without anion corrections: -0.088 eV/f.u.
# magnetization: 0.0 μB per cell
# space-group type: R3m, No. 160

---

Record 3
# GGA-PBE Ge2As2Se, relaxed
data_Ge2As2Se
_chemical_formula_sum 'Ge2 As2 Se1'
_symmetry_space_group_name_H-M 'P 1'
_symmetry_Int_Tables_number 1
_cell_length_a 6.8688
_cell_length_b 6.8688
_cell_length_c 6.8688
_cell_angle_alpha 144.45
_cell_angle_beta 144.45
_cell_angle_gamma 51.16
loop_
_symmetry_equiv_pos_as_xyz
'x,y,z'
loop_
_atom_site_label
_atom_site_type_symbol
_atom_site_fract_x
_atom_site_fract_y
_atom_site_fract_z
Ge1 Ge 0.2500 0.7500 0.5000
Ge2 Ge 0.7500 0.2500 0.5000
As1 As 0.1164 0.1164 0.0000
As2 As 0.8836 0.8836 0.0000
Se1 Se 0.5000 0.5000 0.0000
# formation energy without anion corrections: 1.497 eV/f.u.
# magnetization: 0.0 μB per cell
# space-group type: I4/mmm, No. 139

---

Record 4
# GGA-PBE Ge3As5Se12, relaxed
data_Ge3As5Se12
_chemical_formula_sum 'Ge12 As20 Se48'
_symmetry_space_group_name_H-M 'P 1'
_symmetry_Int_Tables_number 1
_cell_length_a 13.9444
_cell_length_b 13.9444
_cell_length_c 13.9444
_cell_angle_alpha 109.47
_cell_angle_beta 109.47
_cell_angle_gamma 109.47
loop_
_symmetry_equiv_pos_as_xyz
'x,y,z'
loop_
_atom_site_label
_atom_site_type_symbol
_atom_site_fract_x
_atom_site_fract_y
_atom_site_fract_z
Ge1 Ge 0.1250 0.2500 0.3750
Ge2 Ge 0.1250 0.3750 0.7500
Ge3 Ge 0.2500 0.3750 0.1250
Ge4 Ge 0.2500 0.8750 0.6250
Ge5 Ge 0.3750 0.1250 0.2500
Ge6 Ge 0.3750 0.7500 0.1250
Ge7 Ge 0.6250 0.2500 0.8750
Ge8 Ge 0.6250 0.8750 0.7500
Ge9 Ge 0.7500 0.1250 0.3750
Ge10 Ge 0.7500 0.6250 0.8750
Ge11 Ge 0.8750 0.6250 0.2500
Ge12 Ge 0.8750 0.7500 0.6250
As1 As 0.0000 0.0000 0.0000
As2 As 0.0000 0.0000 0.5000
As3 As 0.0000 0.5000 0.0000
As4 As 0.0000 0.5000 0.5000
As5 As 0.1250 0.7500 0.8750
As6 As 0.1250 0.8750 0.2500
As7 As 0.2500 0.1250 0.8750
As8 As 0.2500 0.6250 0.3750
As9 As 0.3750 0.2500 0.6250
As10 As 0.3750 0.6250 0.7500
As11 As 0.5000 0.0000 0.0000
As12 As 0.5000 0.0000 0.5000
As13 As 0.5000 0.5000 0.0000
As14 As 0.5000 0.5000 0.5000
As15 As 0.6250 0.3750 0.2500
As16 As 0.6250 0.7500 0.3750
As17 As 0.7500 0.3750 0.6250
As18 As 0.7500 0.8750 0.1250
As19 As 0.8750 0.1250 0.7500
As20 As 0.8750 0.2500 0.1250
Se1 Se 0.0406 0.2154 0.1284
Se2 Se 0.0406 0.3252 0.9122
Se3 Se 0.0870 0.7154 0.6748
Se4 Se 0.0870 0.8716 0.4122
Se5 Se 0.0878 0.6284 0.4130
Se6 Se 0.0878 0.9594 0.6748
Se7 Se 0.1284 0.0406 0.2154
Se8 Se 0.1284 0.5878 0.9130
Se9 Se 0.1748 0.2154 0.5870
Se10 Se 0.1748 0.4594 0.5878
Se11 Se 0.2154 0.1284 0.0406
Se12 Se 0.2154 0.5870 0.1748
Se13 Se 0.2846 0.3252 0.9130
Se14 Se 0.2846 0.4594 0.3716
Se15 Se 0.3252 0.9122 0.0406
Se16 Se 0.3252 0.9130 0.2846
Se17 Se 0.3716 0.2846 0.4594
Se18 Se 0.3716 0.5870 0.9122
Se19 Se 0.4122 0.0870 0.8716
Se20 Se 0.4122 0.8252 0.5406
Se21 Se 0.4130 0.0878 0.6284
Se22 Se 0.4130 0.8252 0.7846
Se23 Se 0.4594 0.3716 0.2846
Se24 Se 0.4594 0.5878 0.1748
Se25 Se 0.5406 0.4122 0.8252
Se26 Se 0.5406 0.6284 0.7154
Se27 Se 0.5870 0.1748 0.2154
Se28 Se 0.5870 0.9122 0.3716
Se29 Se 0.5878 0.1748 0.4594
Se30 Se 0.5878 0.9130 0.1284
Se31 Se 0.6284 0.4130 0.0878
Se32 Se 0.6284 0.7154 0.5406
Se33 Se 0.6748 0.0870 0.7154
Se34 Se 0.6748 0.0878 0.9594
Se35 Se 0.7154 0.5406 0.6284
Se36 Se 0.7154 0.6748 0.0870
Se37 Se 0.7846 0.4130 0.8252
Se38 Se 0.7846 0.8716 0.9594
Se39 Se 0.8252 0.5406 0.4122
Se40 Se 0.8252 0.7846 0.4130
Se41 Se 0.8716 0.4122 0.0870
Se42 Se 0.8716 0.9594 0.7846
Se43 Se 0.9122 0.0406 0.3252
Se44 Se 0.9122 0.3716 0.5870
Se45 Se 0.9130 0.1284 0.5878
Se46 Se 0.9130 0.2846 0.3252
Se47 Se 0.9594 0.6748 0.0878
Se48 Se 0.9594 0.7846 0.8716
# formation energy without anion corrections: 0.827 eV/f.u.
# magnetization: 0.0 μB per cell
# space-group type: Ia-3d, No. 230

---

Record 5
# GGA-PBE Ge2AsSe, relaxed
data_Ge2AsSe
_chemical_formula_sum 'Ge4 As2 Se2'
_symmetry_space_group_name_H-M 'P 1'
_symmetry_Int_Tables_number 1
_cell_length_a 6.5392
_cell_length_b 6.5392
_cell_length_c 6.5392
_cell_angle_alpha 117.99
_cell_angle_beta 117.99
_cell_angle_gamma 93.53
loop_
_symmetry_equiv_pos_as_xyz
'x,y,z'
loop_
_atom_site_label
_atom_site_type_symbol
_atom_site_fract_x
_atom_site_fract_y
_atom_site_fract_z
Ge1 Ge 0.1128 0.6250 0.9878
Ge2 Ge 0.3750 0.3628 0.4878
Ge3 Ge 0.6372 0.1250 0.0122
Ge4 Ge 0.8750 0.8872 0.5122
As1 As 0.0000 0.0000 0.0000
As2 As 0.7500 0.2500 0.5000
Se1 Se 0.2500 0.7500 0.5000
Se2 Se 0.5000 0.5000 0.0000
# formation energy without anion corrections: 0.489 eV/f.u.
# magnetization: 0.0 μB per cell
# space-group type: I-42d, No. 122

---

Record 6
# GGA-PBE GeAsSe, relaxed
data_GeAsSe
_chemical_formula_sum 'Ge1 As1 Se1'
_symmetry_space_group_name_H-M 'P 1'
_symmetry_Int_Tables_number 1
_cell_length_a 3.8705
_cell_length_b 3.8705
_cell_length_c 4.8540
_cell_angle_alpha 90.00
_cell_angle_beta 90.00
_cell_angle_gamma 120.00
loop_
_symmetry_equiv_pos_as_xyz
'x,y,z'
loop_
_atom_site_label
_atom_site_type_symbol
_atom_site_fract_x
_atom_site_fract_y
_atom_site_fract_z
Ge1 Ge 0.0000 0.0000 0.0000
As1 As 0.3333 0.6667 0.2797
Se1 Se 0.6667 0.3333 0.6580
# formation energy without anion corrections: 0.202 eV/f.u.
# magnetization: 0.0 μB per cell
# space-group type: P3m1, No. 156

---

Record 7
# GGA-PBE GeAsSe, relaxed
data_GeAsSe
_chemical_formula_sum 'Ge8 As8 Se8'
_symmetry_space_group_name_H-M 'P 1'
_symmetry_Int_Tables_number 1
_cell_length_a 5.1410
_cell_length_b 10.3823
_cell_length_c 12.8417
_cell_angle_alpha 90.00
_cell_angle_beta 90.00
_cell_angle_gamma 90.00
loop_
_symmetry_equiv_pos_as_xyz
'x,y,z'
loop_
_atom_site_label
_atom_site_type_symbol
_atom_site_fract_x
_atom_site_fract_y
_atom_site_fract_z
Ge1 Ge 0.2018 0.2500 0.2500
Ge2 Ge 0.2500 0.0000 0.7317
Ge3 Ge 0.2500 0.5000 0.7683
Ge4 Ge 0.2982 0.7500 0.2500
Ge5 Ge 0.7018 0.2500 0.7500
Ge6 Ge 0.7500 0.0000 0.2683
Ge7 Ge 0.7500 0.5000 0.2317
Ge8 Ge 0.7982 0.7500 0.7500
As1 As 0.0783 0.5844 0.3597
As2 As 0.0783 0.9156 0.1403
As3 As 0.4217 0.0844 0.1403
As4 As 0.4217 0.4156 0.3597
As5 As 0.5783 0.5844 0.6403
As6 As 0.5783 0.9156 0.8597
As7 As 0.9217 0.0844 0.8597
As8 As 0.9217 0.4156 0.6403
Se1 Se 0.0728 0.6584 0.8832
Se2 Se 0.0728 0.8416 0.6168
Se3 Se 0.4272 0.1584 0.6168
Se4 Se 0.4272 0.3416 0.8832
Se5 Se 0.5728 0.6584 0.1168
Se6 Se 0.5728 0.8416 0.3832
Se7 Se 0.9272 0.1584 0.3832
Se8 Se 0.9272 0.3416 0.1168
# formation energy without anion corrections: -0.545 eV/f.u.
# magnetization: 0.0 μB per cell
# space-group type: Pnna, No. 52

---

Record 8
# GGA-PBE GeAsSe3, relaxed
data_GeAsSe3
_chemical_formula_sum 'Ge2 As2 Se6'
_symmetry_space_group_name_H-M 'P 1'
_symmetry_Int_Tables_number 1
_cell_length_a 10.9305
_cell_length_b 10.9305
_cell_length_c 6.9931
_cell_angle_alpha 96.08
_cell_angle_beta 96.08
_cell_angle_gamma 19.16
loop_
_symmetry_equiv_pos_as_xyz
'x,y,z'
loop_
_atom_site_label
_atom_site_type_symbol
_atom_site_fract_x
_atom_site_fract_y
_atom_site_fract_z
Ge1 Ge 0.1115 0.1115 0.4655
Ge2 Ge 0.8885 0.8885 0.5345
As1 As 0.4086 0.4086 0.9822
As2 As 0.5914 0.5914 0.0178
Se1 Se 0.1675 0.1675 0.1558
Se2 Se 0.3279 0.3279 0.3568
Se3 Se 0.4755 0.4755 0.7239
Se4 Se 0.5245 0.5245 0.2761
Se5 Se 0.6721 0.6721 0.6432
Se6 Se 0.8325 0.8325 0.8442
# formation energy without anion corrections: -0.355 eV/f.u.
# magnetization: 0.0 μB per cell
# space-group type: C2/m, No. 12

---

Record 9
# GGA-PBE Ge2AsSe4, relaxed
data_Ge2AsSe4
_chemical_formula_sum 'Ge2 As1 Se4'
_symmetry_space_group_name_H-M 'P 1'
_symmetry_Int_Tables_number 1
_cell_length_a 6.2395
_cell_length_b 6.2395
_cell_length_c 6.2395
_cell_angle_alpha 106.17
_cell_angle_beta 106.17
_cell_angle_gamma 116.29
loop_
_symmetry_equiv_pos_as_xyz
'x,y,z'
loop_
_atom_site_label
_atom_site_type_symbol
_atom_site_fract_x
_atom_site_fract_y
_atom_site_fract_z
Ge1 Ge 0.2500 0.7500 0.5000
Ge2 Ge 0.7500 0.2500 0.5000
As1 As 0.0000 0.0000 0.0000
Se1 Se 0.1764 0.3144 0.4908
Se2 Se 0.3144 0.8236 0.1379
Se3 Se 0.6856 0.1764 0.8621
Se4 Se 0.8236 0.6856 0.5092
# formation energy without anion corrections: -0.271 eV/f.u.
# magnetization: 0.0 μB per cell
# space-group type: I4/m, No. 87

---

Record 10
# GGA-PBE GeAs2Se4, relaxed
data_GeAs2Se4
_chemical_formula_sum 'Ge1 As2 Se4'
_symmetry_space_group_name_H-M 'P 1'
_symmetry_Int_Tables_number 1
_cell_length_a 6.5144
_cell_length_b 6.5144
_cell_length_c 6.5144
_cell_angle_alpha 116.48
_cell_angle_beta 116.48
_cell_angle_gamma 96.21
loop_
_symmetry_equiv_pos_as_xyz
'x,y,z'
loop_
_atom_site_label
_atom_site_type_symbol
_atom_site_fract_x
_atom_site_fract_y
_atom_site_fract_z
Ge1 Ge 0.0000 0.0000 0.0000
As1 As 0.2500 0.7500 0.5000
As2 As 0.7500 0.2500 0.5000
Se1 Se 0.0861 0.6437 0.0000
Se2 Se 0.3563 0.3563 0.4424
Se3 Se 0.6437 0.0861 0.0000
Se4 Se 0.9139 0.9139 0.5576
# formation energy without anion corrections: 0.278 eV/f.u.
# magnetization: 0.0 μB per cell
# space-group type: I-42m, No. 121

---

Question: What is the formation energy without anion corrections in the eighth record?
Answer: -0.355 eV/f.u.